Material: Pa2Co4GeAs3
Method: DFT, PBE
State: optimized geometry

Summary:
The value obtained for the energy of formation is -6.8 eV/f.u. Its magnetization is 1.5 μB/f.u. The space group is P-4m2 (115). As for the raw total energy: -7.28 eV/atom.

abc: 4.0920 4.0920 9.3437
angles: 90.00 90.00 90.00
With the nearest neighbours (Å) after each atom.
Fractional positions:
Pa: 0.0000 0.5000 0.7534  6 As 3.08-3.13, 8 Co 3.08-3.14, 2 Ge 3.13
Pa: 0.5000 0.0000 0.2466  6 As 3.08-3.13, 8 Co 3.08-3.14, 2 Ge 3.13
Co: 0.0000 0.0000 0.0000  4 As 2.39
Co: 0.0000 0.5000 0.3777  3 As 2.28-2.34, 2 Ge 2.34
Co: 0.5000 0.5000 0.0000  4 As 2.39
Co: 0.5000 0.0000 0.6223  3 As 2.28-2.34, 2 Ge 2.34
As: 0.5000 0.0000 0.8668  5 Co 2.28-2.39
As: 0.0000 0.0000 0.5000  4 Co 2.34
As: 0.0000 0.5000 0.1332  5 Co 2.28-2.39
Ge: 0.5000 0.5000 0.5000  4 Co 2.34

Material: Pa2Co4Ge3As
Method: DFT, PBE
State: optimized geometry

Summary:
The value obtained for the energy of formation is -5.8 eV/f.u. Its magnetization is 0.8 μB/f.u. The space group is P-4m2 (115). As for the raw total energy: -7.17 eV/atom.

abc: 4.1217 4.1217 9.2711
angles: 90.00 90.00 90.00
With the nearest neighbours (Å) after each atom.
Fractional positions:
Ge: 0.0000 0.5000 0.1320  5 Co 2.31-2.40
Ge: 0.5000 0.0000 0.8680  5 Co 2.31-2.40
Ge: 0.0000 0.0000 0.5000  4 Co 2.34
Co: 0.5000 0.0000 0.6193  3 Ge 2.31-2.34, 2 As 2.34
Co: 0.0000 0.0000 0.0000  4 Ge 2.40
Co: 0.0000 0.5000 0.3807  3 Ge 2.31-2.34, 2 As 2.34
Co: 0.5000 0.5000 0.0000  4 Ge 2.40
As: 0.5000 0.5000 0.5000  4 Co 2.34
Pa: 0.0000 0.5000 0.7598  8 Co 3.03-3.19, 6 Ge 3.08-3.17, 2 As 3.17
Pa: 0.5000 0.0000 0.2402  8 Co 3.03-3.19, 6 Ge 3.08-3.17, 2 As 3.17

Material: Sc2Co2Ge2As
Method: DFT, PBE
State: optimized geometry

Summary:
The value obtained for the energy of formation is -1.2 eV/f.u. Its magnetization is 0.0 μB/f.u. The space group is I4/mmm (139). As for the raw total energy: -5.99 eV/atom.

abc: 4.2592 4.2592 7.5644
angles: 106.35 106.35 90.00
With the nearest neighbours (Å) after each atom.
Fractional positions:
Co: 0.0000 0.5000 0.0000  2 As 2.13
Co: 0.5000 0.0000 0.0000  2 As 2.13
Ge: 0.6156 0.6156 0.2313  4 Co 2.67, 1 Sc 2.78
Ge: 0.3844 0.3844 0.7687  4 Co 2.67, 1 Sc 2.78
Sc: 0.8160 0.8160 0.6320  1 As 2.55, 1 Ge 2.78
Sc: 0.1840 0.1840 0.3680  1 As 2.55, 1 Ge 2.78
As: 0.0000 0.0000 0.0000  4 Co 2.13

Material: Sc2CoGeAs
Method: DFT, PBE
State: optimized geometry

Summary:
The value obtained for the energy of formation is -2.0 eV/f.u. Its magnetization is 0.0 μB/f.u. The space group is P4/mmm (123). As for the raw total energy: -6.21 eV/atom.

abc: 4.8115 4.3127 4.8115
angles: 90.00 90.00 90.00
With the nearest neighbours (Å) after each atom.
Fractional positions:
Sc: 0.0000 0.0000 0.5000  2 Co 2.41
Sc: 0.5000 0.0000 0.0000  2 Co 2.41
Co: 0.0000 0.0000 0.0000  2 Ge 2.16, 4 Sc 2.41
Ge: 0.0000 0.5000 0.0000  2 Co 2.16
As: 0.5000 0.5000 0.5000  8 Sc 3.23, 4 Ge 3.40

Material: CoGeAsSe2
Method: DFT, PBE
State: optimized geometry

Summary:
The value obtained for the energy relative to the elements, uncorrected is 98.16 kJ per mole of atoms. For the energy above the lowest structure with this stoichiometry, the calculation gives 0.655 eV/atom. Its magnetization is 2.5 μB/f.u. The space group is P4/mmm (123). As for the raw total energy: -3.65 eV/atom.

abc: 4.9613 4.9613 4.8937
angles: 90.00 90.00 90.00
With the nearest neighbours (Å) after each atom.
Fractional positions:
Se: 0.5000 0.0000 0.0000  2 Ge 2.48
Se: 0.0000 0.5000 0.0000  2 Ge 2.48
Ge: 0.0000 0.0000 0.0000  2 As 2.45, 4 Se 2.48
As: 0.0000 0.0000 0.5000  2 Ge 2.45
Co: 0.5000 0.5000 0.5000  8 Se 3.48, 4 As 3.51

Material: CoGeAsSe2
Method: DFT, PBE
State: optimized geometry

Summary:
The value obtained for the energy relative to the elements, uncorrected is 35.00 kJ per mole of atoms. For the energy above the lowest structure with this stoichiometry, the calculation gives 0.000 eV/atom. Its magnetization is 0.0 μB/f.u. The space group is P4/mmm (123). As for the raw total energy: -4.31 eV/atom.

abc: 4.9357 4.9357 4.2899
angles: 90.00 90.00 90.00
With the nearest neighbours (Å) after each atom.
Fractional positions:
Se: 0.5000 0.0000 0.0000  2 Co 2.47
Se: 0.0000 0.5000 0.0000  2 Co 2.47
Ge: 0.5000 0.5000 0.5000  8 Se 3.27, 4 As 3.49
As: 0.0000 0.0000 0.5000  2 Co 2.14
Co: 0.0000 0.0000 0.0000  2 As 2.14

Material: Ta2CoGeAs
Method: DFT, PBE
State: optimized geometry

Summary:
The value obtained for the energy of formation is 7.3 eV/f.u. Its magnetization is 0.0 μB/f.u. The space group is P4/mmm (123). As for the raw total energy: -6.55 eV/atom.

abc: 4.7358 4.7217 4.7358
angles: 90.00 90.00 90.00
With the nearest neighbours (Å) after each atom.
Fractional positions:
Ta: 0.5000 0.0000 0.0000  2 As 2.37
Ta: 0.0000 0.0000 0.5000  2 As 2.37
As: 0.0000 0.0000 0.0000  2 Ge 2.36, 4 Ta 2.37
Ge: 0.0000 0.5000 0.0000  2 As 2.36
Co: 0.5000 0.5000 0.5000  8 Ta 3.34, 4 Ge 3.35

Material: CoTcGe2As
Method: DFT, PBE
State: optimized geometry

Summary:
The value obtained for the energy of formation is 3.9 eV/f.u. Its magnetization is 2.3 μB/f.u. The space group is P4/mmm (123). As for the raw total energy: -5.50 eV/atom.

abc: 4.4246 4.6948 4.4246
angles: 90.00 90.00 90.00
With the nearest neighbours (Å) after each atom.
Fractional positions:
Ge: 0.0000 0.0000 0.5000  2 Co 2.21
Ge: 0.5000 0.0000 0.0000  2 Co 2.21
Co: 0.0000 0.0000 0.0000  4 Ge 2.21, 2 As 2.35
Tc: 0.5000 0.5000 0.5000  4 As 3.13, 8 Ge 3.23
As: 0.0000 0.5000 0.0000  2 Co 2.35